Record 1
A plane-wave DFT calculation with PBE was carried out for crystalline LiPrPuGe at its relaxed geometry.

Results
Energy = -26.46 eV/cell
ΔH_f (0 K) = -0.20 eV per atom

Cell and atoms, written as POSCAR:
```
LiPrPuGe
1.0
-4.7949 1.9390 -0.1505
-4.0318 -3.1316 -0.8432
-3.3260 -1.0237 3.8293
Pr Ge Li Pu
1 1 1 1
direct
0.0000 0.0000 0.0000
0.2500 0.2500 0.2500
0.7500 0.7500 0.7500
0.5000 0.5000 0.5000
```

Record 2
A plane-wave DFT calculation with PBE was carried out for crystalline CdInP2 at its relaxed geometry.

Results
Energy = -14.02 eV/cell
ΔH_f (0 K) = 0.11 eV per atom

Cell and atoms, written as POSCAR:
```
CdInP2
1.0
-3.8260 0.4279 -0.2796
-0.6581 -3.1409 4.1991
0.0720 2.9851 3.5836
Cd In P
1 1 2
direct
0.5000 0.2500 0.2500
0.5000 0.7500 0.7500
0.0000 0.9346 0.0881
0.0000 0.5654 0.4119
```

Record 3
A plane-wave DFT calculation with PBE was carried out for crystalline Tb2PrNd4Tm2 at its relaxed geometry.

Results
Energy = -41.88 eV/cell
ΔH_f (0 K) = 0.02 eV per atom

Cell and atoms, written as POSCAR:
```
Tb2PrNd4Tm2
1.0
5.1038 0.0000 0.0000
-2.5519 7.6757 0.0169
0.0000 -2.5563 7.6611
Tb Pr Nd Tm
2 1 4 2
direct
0.8883 0.7765 0.3318
0.1117 0.2235 0.6682
0.0000 0.0000 0.0000
0.7768 0.5536 0.6693
0.2232 0.4464 0.3307
0.5543 0.1087 0.3319
0.4457 0.8913 0.6681
0.3313 0.6625 0.0009
0.6687 0.3375 0.9991
```

Record 4
A plane-wave DFT calculation with PBE was carried out for crystalline LaTcSb2 at its relaxed geometry.

Results
Raw formation energy = -0.141 eV per atom
Energy relative to the lowest polymorph listed for this composition = 324.8 meV/atom
Energy = -24.10 eV/cell

Cell and atoms, written as POSCAR:
```
LaTcSb2
1.0
-0.5972 3.4899 -0.6515
-1.5892 -0.8536 -3.1155
-6.5508 -0.4730 3.4711
La Sb Tc
1 2 1
direct
0.5000 0.5000 0.7371
0.0000 0.0000 0.0321
0.5000 0.5000 0.2923
0.0000 0.0000 0.4386
```

Record 5
A plane-wave DFT calculation with PBE was carried out for crystalline SiBAsRhS at its relaxed geometry.

Results
Raw formation energy = -0.124 eV per atom
Energy relative to the lowest polymorph listed for this composition = 77.2 meV/atom
Energy = -28.85 eV/cell

Cell and atoms, written as POSCAR:
```
SiBAsRhS
1.0
3.5182 0.0023 -0.0029
-1.6964 4.4815 0.0030
-0.1388 -2.5106 4.9002
Si As B Rh S
1 1 1 1 1
direct
0.8618 0.3418 0.8522
0.2404 0.1007 0.2930
0.4058 0.4525 0.7169
0.5152 0.6075 0.1830
0.7421 0.8050 0.6478
```

Record 6
A plane-wave DFT calculation with PBE was carried out for crystalline Sm5DyAl2 at its relaxed geometry.

Results
Energy = -71.75 eV/cell
ΔH_f (0 K) = -0.02 eV per atom

Cell and atoms, written as POSCAR:
```
Sm5DyAl2
1.0
5.3797 0.0000 0.0000
-2.6899 4.6590 0.0000
0.0000 0.0000 19.9067
Sm Dy Al
10 2 4
direct
0.0000 0.0000 0.3442
0.0000 0.0000 0.1558
0.6667 0.3333 0.2500
0.0000 0.0000 0.8442
0.6667 0.3333 0.0557
0.3333 0.6667 0.7500
0.3333 0.6667 0.9443
0.3333 0.6667 0.5557
0.6667 0.3333 0.4443
0.0000 0.0000 0.6558
0.3333 0.6667 0.2500
0.6667 0.3333 0.7500
0.6667 0.3333 0.6008
0.3333 0.6667 0.1008
0.3333 0.6667 0.3992
0.6667 0.3333 0.8992
```

Record 7
A plane-wave DFT calculation with PBE was carried out for crystalline YU4Ga15 at its relaxed geometry.

Results
Energy = -102.90 eV/cell
ΔH_f (0 K) = -0.29 eV per atom

Cell and atoms, written as POSCAR:
```
YU4Ga15
1.0
-4.1849 0.1469 -0.7575
-0.6671 -2.7884 3.1447
-1.9513 16.1589 13.9139
Y U Ga
1 4 15
direct
0.0000 0.0000 0.0000
0.0000 0.0000 0.2002
0.0000 0.0000 0.3998
0.0000 0.0000 0.6002
0.0000 0.0000 0.7998
0.5000 0.5000 0.0000
0.5000 0.5000 0.2008
0.5000 0.5000 0.3999
0.5000 0.5000 0.6001
0.5000 0.5000 0.7992
0.5000 0.0000 0.1010
0.5000 0.0000 0.3002
0.5000 0.0000 0.5000
0.5000 0.0000 0.6998
0.5000 0.0000 0.8990
0.0000 0.5000 0.1010
0.0000 0.5000 0.3002
0.0000 0.5000 0.5000
0.0000 0.5000 0.6998
0.0000 0.5000 0.8990
```

Record 8
A plane-wave DFT calculation with PBE was carried out for crystalline CeY2Th4 at its relaxed geometry.

Results
Energy relative to the lowest polymorph listed for this composition = 0.0 meV/atom
Energy = -48.01 eV/cell
ΔH_f (0 K) = 0.08 eV per atom

Cell and atoms, written as POSCAR:
```
CeY2Th4
1.0
-2.8906 0.7998 -1.8909
-1.6977 -2.7367 1.4378
-4.3269 10.1642 14.2377
Ce Y Th
1 2 4
direct
0.5000 0.0000 0.0000
0.7929 0.5000 0.5858
0.2071 0.5000 0.4142
0.9321 0.5000 0.8642
0.6372 0.0000 0.2743
0.0679 0.5000 0.1358
0.3628 0.0000 0.7257
```

Record 9
A plane-wave DFT calculation with PBE was carried out for crystalline CoNi5Rh8 at its relaxed geometry.

Results
Energy = -90.86 eV/cell
ΔH_f (0 K) = 0.28 eV per atom

Cell and atoms, written as POSCAR:
```
CoNi5Rh8
1.0
-3.9971 4.4839 -1.8795
-2.8501 -5.6097 0.1505
2.0182 1.6319 5.7339
Co Ni Rh
1 5 8
direct
0.2500 0.5000 0.7500
0.0330 0.3164 0.1227
0.8773 0.9104 0.1938
0.8062 0.6836 0.7166
0.5000 0.0000 0.5000
0.2834 0.0896 0.9670
0.1524 0.7201 0.0649
0.9351 0.0874 0.6552
0.7438 0.2628 0.3405
0.6595 0.4033 0.9223
0.5190 0.5967 0.2562
0.5678 0.9126 0.8476
0.3448 0.2799 0.4322
0.0777 0.7372 0.4810
```

Record 10
A plane-wave DFT calculation with PBE was carried out for crystalline MgScTa at its relaxed geometry.

Results
Energy relative to the lowest polymorph listed for this composition = 212.1 meV/atom
Energy = -18.96 eV/cell
ΔH_f (0 K) = 0.27 eV per atom

Cell and atoms, written as POSCAR:
```
MgScTa
1.0
5.4540 0.0040 -0.0055
2.9283 4.6013 0.0055
-3.7242 -3.1526 2.4368
Mg Sc Ta
1 1 1
direct
0.9976 0.9976 0.0000
0.6693 0.6693 0.0000
0.3330 0.3330 0.0000
```

Record 11
A plane-wave DFT calculation with PBE was carried out for crystalline Hf2GaCl at its relaxed geometry.

Results
Raw formation energy = 0.136 eV per atom
Energy relative to the lowest polymorph listed for this composition = 348.5 meV/atom
Energy = -48.47 eV/cell

Cell and atoms, written as POSCAR:
```
Hf2GaCl
1.0
4.2126 0.0000 0.0000
0.0000 4.2126 0.0000
2.1063 2.1063 9.5978
Hf Ga Cl
4 2 2
direct
0.6309 0.1250 0.2500
0.1191 0.6250 0.2500
0.3750 0.3691 0.7500
0.8750 0.8809 0.7500
0.0000 0.0000 0.0000
0.7500 0.2500 0.5000
0.5000 0.5000 0.0000
0.2500 0.7500 0.5000
```

Record 12
A plane-wave DFT calculation with PBE was carried out for crystalline NdThTcAu at its relaxed geometry.

Results
Energy = -26.82 eV/cell
ΔH_f (0 K) = -0.25 eV per atom

Cell and atoms, written as POSCAR:
```
NdThTcAu
1.0
5.1378 0.0000 0.0000
2.5689 4.4495 0.0000
2.5689 1.4832 4.1950
Nd Au Tc Th
1 1 1 1
direct
0.2500 0.2500 0.2500
0.0000 0.0000 0.0000
0.5000 0.5000 0.5000
0.7500 0.7500 0.7500
```

Please write out number 3 again, unchanged.
A plane-wave DFT calculation with PBE was carried out for crystalline Tb2PrNd4Tm2 at its relaxed geometry.

Results
Energy = -41.88 eV/cell
ΔH_f (0 K) = 0.02 eV per atom

Cell and atoms, written as POSCAR:
```
Tb2PrNd4Tm2
1.0
5.1038 0.0000 0.0000
-2.5519 7.6757 0.0169
0.0000 -2.5563 7.6611
Tb Pr Nd Tm
2 1 4 2
direct
0.8883 0.7765 0.3318
0.1117 0.2235 0.6682
0.0000 0.0000 0.0000
0.7768 0.5536 0.6693
0.2232 0.4464 0.3307
0.5543 0.1087 0.3319
0.4457 0.8913 0.6681
0.3313 0.6625 0.0009
0.6687 0.3375 0.9991
```

Q: Which formula does entry 6 have?
A: Sm5DyAl2

Q: Among the records above, which one has the highest energy?
A: CdInP2

Q: The highest energy belongs to which entry?
A: CdInP2